First-principles (PBE-GGA) data for KBaBiAu after structural relaxation, as listed in the Alexandria database.

```
4
Lattice="0.0000 4.1466 4.1466 4.1466 0.0000 4.1466 4.1466 4.1466 0.0000" Properties=species:S:1:pos:R:3 pbc="T T T"
K 0.0000 0.0000 0.0000
Ba 4.1466 4.1466 4.1466
Bi 6.2199 6.2199 6.2199
Au 2.0733 2.0733 2.0733
```

**M_tot**: 0.00 μB/cell
**DFT formation energy**: -0.4861 eV/atom
**Final energy**: -3.0308 eV/atom

=====

First-principles (PBE-GGA) data for Sc2Pd2S after structural relaxation, as listed in the Alexandria database.

```
10
Lattice="7.1696 0.0000 0.0000 0.0000 7.1696 0.0000 0.0000 0.0000 3.6649" Properties=species:S:1:pos:R:3 pbc="T T T"
Sc 1.2457 2.3391 0.0000
Sc 2.3391 5.9239 0.0000
Sc 4.8304 1.2457 0.0000
Sc 5.9239 4.8304 0.0000
Pd 0.9317 4.5165 1.8325
Pd 2.6531 0.9317 1.8325
Pd 4.5165 6.2379 1.8325
Pd 6.2379 2.6531 1.8325
S 0.0000 0.0000 0.0000
S 3.5848 3.5848 0.0000
```

**Uncorrected formation energy**: -0.862 eV/atom
**M_tot**: 0.00 μB/cell
**Final energy**: -6.2969 eV/atom